A geometry-optimized CePd2Pt4 structure, computed with PBE.

Cell lengths 6.255, 6.255, 6.255 Å; angles 99.80, 99.80, 131.26 degrees
Element x y z (fractional)
Ce 0.000 0.000 0.000
Pd 0.250 0.750 0.500
Pd 0.750 0.250 0.500
Pt 0.279 0.500 0.779
Pt 0.500 0.279 0.779
Pt 0.500 0.721 0.221
Pt 0.721 0.500 0.221

## Properties
Space group: I4/mmm, No. 139
DOS at the Fermi energy in states/eV/atom: 1.901
DFT formation energy in eV per atom: 0.13